# 1
Tb2SmTmHg4 PBE-GGA optimized geometry; calculated volume = 208.88 Å³/f.u.; energy of formation from the pure elements = -474 meV per atom; VASP energy = -23.447 eV per cell; Fermi-level density of states = 8.665 states/eV/f.u.
1.0
2.6389 1.5236 8.6590
-2.6389 1.5236 8.6590
0.0000 -3.0471 8.6590
Tb Sm Tm Hg
2 1 1 4
direct
0.2492 0.2492 0.2492
0.7508 0.7508 0.7508
0.0000 0.0000 0.0000
0.5000 0.5000 0.5000
0.1265 0.1265 0.1265
0.3770 0.3770 0.3770
0.6230 0.6230 0.6230
0.8735 0.8735 0.8735



# 2
TbSmYHg PBE-GGA optimized geometry; calculated volume = 114.45 Å³/f.u.; energy of formation from the pure elements = -57 meV per atom; VASP energy = -65.369 eV per cell; Fermi-level density of states = 5.314 states/eV/f.u.
1.0
7.7071 0.0000 0.0000
0.0000 7.7071 0.0000
0.0000 0.0000 7.7071
Tb Sm Y Hg
4 4 4 4
direct
0.0000 0.0000 0.0000
0.0000 0.5000 0.5000
0.5000 0.0000 0.5000
0.5000 0.5000 0.0000
0.2500 0.2500 0.7500
0.2500 0.7500 0.2500
0.7500 0.2500 0.2500
0.7500 0.7500 0.7500
0.2500 0.2500 0.2500
0.2500 0.7500 0.7500
0.7500 0.2500 0.7500
0.7500 0.7500 0.2500
0.0000 0.0000 0.5000
0.0000 0.5000 0.0000
0.5000 0.0000 0.0000
0.5000 0.5000 0.5000



# 3
Tb2SmZn2Hg2 PBE-GGA optimized geometry; calculated volume = 173.13 Å³/f.u.; energy of formation from the pure elements = -293 meV per atom; VASP energy = -19.179 eV per cell; Fermi-level density of states = 4.982 states/eV/f.u.
1.0
2.3677 1.3670 8.9157
-2.3677 1.3670 8.9157
0.0000 -2.7339 8.9157
Tb Sm Zn Hg
2 1 2 2
direct
0.1261 0.1261 0.1261
0.8739 0.8739 0.8739
0.0000 0.0000 0.0000
0.2550 0.2550 0.2550
0.7450 0.7450 0.7450
0.4013 0.4013 0.4013
0.5987 0.5987 0.5987



# 4
Sm4TcHg PBE-GGA optimized geometry; calculated volume = 173.40 Å³/f.u.; energy of formation from the pure elements = -208 meV per atom; VASP energy = -61.589 eV per cell; Fermi-level density of states = 5.927 states/eV/f.u.
1.0
4.3432 -6.4763 0.0000
4.3432 6.4763 0.0000
-1.7678 0.0000 6.1650
Sm Tc Hg
8 2 2
direct
0.0632 0.7241 0.9588
0.2054 0.3654 0.5950
0.2759 0.9368 0.5412
0.3654 0.2054 0.0950
0.6346 0.7946 0.9050
0.7241 0.0632 0.4588
0.7946 0.6346 0.4050
0.9368 0.2759 0.0412
0.0006 0.9994 0.7500
0.9994 0.0006 0.2500
0.3742 0.6258 0.2500
0.6258 0.3742 0.7500



# 5
Sm3TcHg PBE-GGA optimized geometry; calculated volume = 140.40 Å³/f.u.; energy of formation from the pure elements = -170 meV per atom; VASP energy = -51.351 eV per cell; Fermi-level density of states = 6.482 states/eV/f.u.
1.0
8.6421 0.0000 0.0000
0.0000 4.0840 0.0000
-3.5402 0.0000 7.9562
Sm Tc Hg
6 2 2
direct
0.0784 0.2500 0.1762
0.2126 0.7500 0.5544
0.4145 0.7500 0.1522
0.5855 0.2500 0.8478
0.7874 0.2500 0.4456
0.9216 0.7500 0.8238
0.4277 0.2500 0.4424
0.5723 0.7500 0.5576
0.2052 0.2500 0.8382
0.7948 0.7500 0.1618



# 6
Sm6TcHg2 PBE-GGA optimized geometry; calculated volume = 256.12 Å³/f.u.; E above lowest polymorph = 0 meV/atom; energy of formation from the pure elements = -216 meV per atom; VASP energy = -41.226 eV per cell; Fermi-level density of states = 12.081 states/eV/f.u.
1.0
4.0804 0.0000 0.0000
0.0000 7.2767 4.3130
0.0000 -7.2767 4.3130
Sm Tc Hg
6 1 2
direct
0.0000 0.0000 0.0000
0.0000 0.5124 0.7459
0.0000 0.7459 0.5124
0.5000 0.1494 0.7469
0.5000 0.3509 0.3509
0.5000 0.7469 0.1494
0.5000 0.7742 0.7742
0.0000 0.0802 0.4172
0.0000 0.4172 0.0802



# 7
Sm5Tc2Hg2 PBE-GGA optimized geometry; calculated volume = 241.84 Å³/f.u.; energy of formation from the pure elements = -184 meV per atom; VASP energy = -93.176 eV per cell; Fermi-level density of states = 10.338 states/eV/f.u.
1.0
8.4777 -3.7584 0.0000
8.4777 3.7584 0.0000
0.0000 0.0000 7.5898
Sm Tc Hg
10 4 4
direct
0.0000 0.0000 0.0000
0.0549 0.6922 0.6804
0.1922 0.5549 0.1804
0.3078 0.9451 0.6804
0.4451 0.8078 0.1804
0.5000 0.5000 0.5000
0.5549 0.1922 0.8196
0.6922 0.0549 0.3196
0.8078 0.4451 0.8196
0.9451 0.3078 0.3196
0.1103 0.8897 0.3886
0.3897 0.6103 0.8886
0.6103 0.3897 0.1114
0.8897 0.1103 0.6114
0.2223 0.2223 0.0000
0.2777 0.2777 0.5000
0.7223 0.7223 0.5000
0.7777 0.7777 0.0000



# 8
Sm6TcHg2 PBE-GGA optimized geometry; calculated volume = 283.46 Å³/f.u.; E above lowest polymorph = 174 meV/atom; energy of formation from the pure elements = -42 meV per atom; VASP energy = -39.660 eV per cell; Fermi-level density of states = 12.202 states/eV/f.u.
1.0
-2.6605 3.6088 7.3808
2.6605 -3.6088 7.3808
2.6605 3.6088 -7.3808
Sm Tc Hg
6 1 2
direct
0.0910 0.3447 0.7463
0.2294 0.0000 0.2294
0.4016 0.6553 0.7463
0.5984 0.3447 0.2537
0.7706 0.0000 0.7706
0.9090 0.6553 0.2537
0.0000 0.5000 0.5000
0.3333 0.8333 0.5000
0.6667 0.1667 0.5000



# 9
Sm6Tc2Hg PBE-GGA optimized geometry; calculated volume = 250.90 Å³/f.u.; energy of formation from the pure elements = -111 meV per atom; VASP energy = -100.702 eV per cell; Fermi-level density of states = 8.912 states/eV/f.u.
1.0
-4.8777 4.9396 5.2067
4.8777 -4.9396 5.2067
4.8777 4.9396 -5.2067
Sm Tc Hg
12 4 2
direct
0.0145 0.2276 0.7870
0.1895 0.2857 0.4752
0.1895 0.7143 0.9038
0.3153 0.0260 0.7107
0.3153 0.6046 0.2893
0.4406 0.2276 0.2130
0.5594 0.7724 0.7870
0.6847 0.3954 0.7107
0.6847 0.9740 0.2893
0.8105 0.2857 0.0962
0.8105 0.7143 0.5248
0.9855 0.7724 0.2130
0.1145 0.6145 0.5000
0.3780 0.0000 0.3780
0.6220 0.0000 0.6220
0.8855 0.3855 0.5000
0.0000 0.0000 0.0000
0.5000 0.5000 0.0000



# 10
SmThTcHg PBE-GGA optimized geometry; calculated volume = 98.89 Å³/f.u.; energy of formation from the pure elements = -68 meV per atom; VASP energy = -92.316 eV per cell; Fermi-level density of states = 4.216 states/eV/f.u.
1.0
7.3408 0.0000 0.0000
0.0000 7.3408 0.0000
0.0000 0.0000 7.3408
Sm Th Tc Hg
4 4 4 4
direct
0.0000 0.0000 0.0000
0.0000 0.5000 0.5000
0.5000 0.0000 0.5000
0.5000 0.5000 0.0000
0.0000 0.0000 0.5000
0.0000 0.5000 0.0000
0.5000 0.0000 0.0000
0.5000 0.5000 0.5000
0.2500 0.2500 0.2500
0.2500 0.7500 0.7500
0.7500 0.2500 0.7500
0.7500 0.7500 0.2500
0.2500 0.2500 0.7500
0.2500 0.7500 0.2500
0.7500 0.2500 0.2500
0.7500 0.7500 0.7500



# 11
SmTmTcHg PBE-GGA optimized geometry; calculated volume = 91.46 Å³/f.u.; energy of formation from the pure elements = -124 meV per atom; VASP energy = -81.414 eV per cell; Fermi-level density of states = 2.809 states/eV/f.u.
1.0
7.1520 0.0000 0.0000
0.0000 7.1520 0.0000
0.0000 0.0000 7.1520
Sm Tm Tc Hg
4 4 4 4
direct
0.0000 0.0000 0.0000
0.0000 0.5000 0.5000
0.5000 0.0000 0.5000
0.5000 0.5000 0.0000
0.0000 0.0000 0.5000
0.0000 0.5000 0.0000
0.5000 0.0000 0.0000
0.5000 0.5000 0.5000
0.2500 0.2500 0.2500
0.2500 0.7500 0.7500
0.7500 0.2500 0.7500
0.7500 0.7500 0.2500
0.2500 0.2500 0.7500
0.2500 0.7500 0.2500
0.7500 0.2500 0.2500
0.7500 0.7500 0.7500



# 12
SmYTcHg PBE-GGA optimized geometry; calculated volume = 93.51 Å³/f.u.; energy of formation from the pure elements = -111 meV per atom; VASP energy = -89.184 eV per cell; Fermi-level density of states = 2.856 states/eV/f.u.
1.0
7.2051 0.0000 0.0000
0.0000 7.2051 0.0000
0.0000 0.0000 7.2051
Sm Y Tc Hg
4 4 4 4
direct
0.0000 0.0000 0.0000
0.0000 0.5000 0.5000
0.5000 0.0000 0.5000
0.5000 0.5000 0.0000
0.0000 0.0000 0.5000
0.0000 0.5000 0.0000
0.5000 0.0000 0.0000
0.5000 0.5000 0.5000
0.2500 0.2500 0.2500
0.2500 0.7500 0.7500
0.7500 0.2500 0.7500
0.7500 0.7500 0.2500
0.2500 0.2500 0.7500
0.2500 0.7500 0.2500
0.7500 0.2500 0.2500
0.7500 0.7500 0.7500



# 13
Sm5HgTe2 PBE-GGA optimized geometry; calculated volume = 265.12 Å³/f.u.; VASP energy = -69.363 eV per cell; Fermi-level density of states = 9.858 states/eV/f.u.; E_form (uncorrected) = -13.0 kcal/mol of atoms
1.0
3.0580 -6.4112 0.0000
3.0580 6.4112 0.0000
0.0000 0.0000 13.5230
Sm Hg Te
10 2 4
direct
0.0554 0.9446 0.6128
0.0554 0.9446 0.8872
0.3754 0.6246 0.2500
0.3794 0.6206 0.5553
0.3794 0.6206 0.9447
0.6206 0.3794 0.0553
0.6206 0.3794 0.4447
0.6246 0.3754 0.7500
0.9446 0.0554 0.1128
0.9446 0.0554 0.3872
0.2576 0.7424 0.7500
0.7424 0.2576 0.2500
0.1861 0.8139 0.0908
0.1861 0.8139 0.4092
0.8139 0.1861 0.5908
0.8139 0.1861 0.9092



# 14
Sm4Hg2Te PBE-GGA optimized geometry; calculated volume = 204.12 Å³/f.u.; E above lowest polymorph = 103 meV/atom; VASP energy = -52.616 eV per cell; Fermi-level density of states = 5.403 states/eV/f.u.; E_form (uncorrected) = -12.1 kcal/mol of atoms
1.0
5.9049 0.0000 0.0000
0.0000 6.6200 0.0000
-1.8947 0.0000 10.4438
Sm Hg Te
8 4 2
direct
0.0662 0.2500 0.1377
0.1838 0.7500 0.4537
0.3910 0.0156 0.7387
0.3910 0.4844 0.7387
0.6090 0.5156 0.2613
0.6090 0.9844 0.2613
0.8162 0.2500 0.5463
0.9338 0.7500 0.8623
0.2752 0.2500 0.4377
0.4802 0.7500 0.9908
0.5198 0.2500 0.0092
0.7248 0.7500 0.5623
0.0651 0.7500 0.1637
0.9349 0.2500 0.8363



# 15
Sm5HgTe5 PBE-GGA optimized geometry; calculated volume = 367.88 Å³/f.u.; VASP energy = -53.292 eV per cell; Fermi-level density of states = 4.892 states/eV/f.u.; E_form (uncorrected) = -28.7 kcal/mol of atoms
1.0
6.9981 -3.1432 0.0000
6.9981 3.1432 0.0000
-2.7916 0.0000 8.3621
Sm Hg Te
5 1 5
direct
0.0000 0.0000 0.0000
0.3348 0.3348 0.1682
0.3350 0.3350 0.6655
0.6650 0.6650 0.3345
0.6652 0.6652 0.8318
0.5000 0.5000 0.0000
0.1647 0.1647 0.8285
0.1674 0.1674 0.3364
0.5000 0.5000 0.5000
0.8326 0.8326 0.6636
0.8353 0.8353 0.1715



# 16
Sm3HgTe2 PBE-GGA optimized geometry; calculated volume = 184.45 Å³/f.u.; E above lowest polymorph = 0 meV/atom; VASP energy = -54.598 eV per cell; Fermi-level density of states = 3.331 states/eV/f.u.; E_form (uncorrected) = -25.2 kcal/mol of atoms
1.0
4.3011 0.0000 0.0000
0.0000 6.2815 0.0000
0.0000 0.0000 13.6545
Sm Hg Te
6 2 4
direct
0.0000 0.0000 0.0000
0.0000 0.0000 0.3353
0.0000 0.0000 0.6647
0.5000 0.5000 0.1647
0.5000 0.5000 0.5000
0.5000 0.5000 0.8353
0.0000 0.5000 0.0000
0.5000 0.0000 0.5000
0.0000 0.5000 0.3320
0.0000 0.5000 0.6680
0.5000 0.0000 0.1680
0.5000 0.0000 0.8320



# 17
SmHgTe2 PBE-GGA optimized geometry; calculated volume = 135.96 Å³/f.u.; E above lowest polymorph = 0 meV/atom; VASP energy = -43.185 eV per cell; Fermi-level density of states = 2.400 states/eV/f.u.; E_form (uncorrected) = -17.8 kcal/mol of atoms
1.0
4.4801 0.0000 0.0000
-2.2400 3.8798 0.0000
0.0000 0.0000 23.4658
Sm Hg Te
3 3 6
direct
0.0000 0.0000 0.0000
0.3333 0.6667 0.6667
0.6667 0.3333 0.3333
0.0000 0.0000 0.1661
0.3333 0.6667 0.8328
0.6667 0.3333 0.4994
0.0000 0.0000 0.4079
0.0000 0.0000 0.5886
0.3333 0.6667 0.0746
0.3333 0.6667 0.2552
0.6667 0.3333 0.7413
0.6667 0.3333 0.9219



# 18
Sm4HgTe3 PBE-GGA optimized geometry; calculated volume = 247.26 Å³/f.u.; VASP energy = -75.977 eV per cell; Fermi-level density of states = 3.313 states/eV/f.u.; E_form (uncorrected) = -27.1 kcal/mol of atoms
1.0
9.0748 0.0000 0.0000
0.0000 12.5571 0.0000
0.0000 0.0000 4.3397
Sm Hg Te
8 2 6
direct
0.0000 0.2452 0.0000
0.0000 0.7548 0.0000
0.2419 0.0000 0.5000
0.2581 0.5000 0.5000
0.5000 0.2548 0.0000
0.5000 0.7452 0.0000
0.7419 0.5000 0.5000
0.7581 0.0000 0.5000
0.0000 0.0000 0.0000
0.5000 0.5000 0.0000
0.0000 0.5000 0.0000
0.2500 0.2500 0.5000
0.2500 0.7500 0.5000
0.5000 0.0000 0.0000
0.7500 0.2500 0.5000
0.7500 0.7500 0.5000



# 19
Sm6HgTe3 PBE-GGA optimized geometry; calculated volume = 321.88 Å³/f.u.; VASP energy = -92.897 eV per cell; Fermi-level density of states = 8.827 states/eV/f.u.; E_form (uncorrected) = -19.4 kcal/mol of atoms
1.0
12.4246 0.0000 0.0000
0.0000 4.1229 0.0000
-3.4088 0.0000 12.5673
Sm Hg Te
12 2 6
direct
0.0087 0.2500 0.3515
0.0943 0.2500 0.8978
0.2470 0.7500 0.2939
0.2957 0.7500 0.7531
0.3838 0.2500 0.5348
0.4310 0.7500 0.1189
0.5690 0.2500 0.8811
0.6162 0.7500 0.4652
0.7043 0.2500 0.2469
0.7530 0.2500 0.7061
0.9057 0.7500 0.1022
0.9913 0.7500 0.6485
0.4572 0.2500 0.3109
0.5428 0.7500 0.6891
0.0990 0.2500 0.1415
0.1712 0.7500 0.5082
0.3476 0.2500 0.9392
0.6524 0.7500 0.0608
0.8288 0.2500 0.4918
0.9010 0.7500 0.8585



# 20
Sm4Hg2Te PBE-GGA optimized geometry; calculated volume = 206.01 Å³/f.u.; E above lowest polymorph = 0 meV/atom; VASP energy = -54.056 eV per cell; Fermi-level density of states = 7.159 states/eV/f.u.; E_form (uncorrected) = -14.5 kcal/mol of atoms
1.0
-4.6807 4.6807 4.7014
4.6807 -4.6807 4.7014
4.6807 4.6807 -4.7014
Sm Hg Te
8 4 2
direct
0.1301 0.2345 0.7494
0.1307 0.7351 0.7506
0.2649 0.0155 0.3955
0.4851 0.3807 0.2506
0.6193 0.8699 0.1045
0.6199 0.8693 0.6045
0.7655 0.5149 0.8955
0.9845 0.3801 0.2494
0.2487 0.6250 0.1237
0.3750 0.4987 0.6237
0.5013 0.1250 0.8763
0.8750 0.7513 0.3763
0.0000 0.0000 0.0000
0.7500 0.2500 0.5000